{
  "formula": "Nd3DyAu3",
  "functional": "PBE",
  "state": "relaxed",
  "formation_enthalpy_0k_ev_per_fu": -4.20,
  "lattice_angstrom": [[4.8819, -5.4743, 0.0000], [4.8819, 5.4743, 0.0000], [-0.1988, 0.0000, 7.3735]],
  "species": ["Nd", "Nd", "Nd", "Nd", "Nd", "Nd", "Dy", "Dy", "Au", "Au", "Au", "Au", "Au", "Au"],
  "fractional_positions": [[0.1777, 0.8223, 0.0000], [0.2589, 0.7411, 0.5000], [0.3470, 0.3470, 0.1228], [0.6530, 0.6530, 0.8772], [0.7411, 0.2589, 0.5000], [0.8223, 0.1777, 0.0000], [0.2540, 0.2540, 0.6217], [0.7460, 0.7460, 0.3783], [0.0212, 0.4974, 0.7770], [0.0640, 0.0640, 0.3144], [0.4974, 0.0212, 0.7770], [0.5026, 0.9788, 0.2230], [0.9360, 0.9360, 0.6856], [0.9788, 0.5026, 0.2230]]
}

{
  "formula": "Pu2Ge2Pt",
  "functional": "PBE",
  "state": "relaxed",
  "formation_enthalpy_0k_ev_per_fu": -3.23,
  "lattice_angstrom": [[5.2452, -2.2064, 0.0000], [5.2452, 2.2064, 0.0000], [-4.7685, 0.0000, 9.2836]],
  "species": ["Pu", "Pu", "Pu", "Pu", "Ge", "Ge", "Ge", "Ge", "Pt", "Pt"],
  "fractional_positions": [[0.0080, 0.0080, 0.3251], [0.1864, 0.1864, 0.1103], [0.8136, 0.8136, 0.8897], [0.9920, 0.9920, 0.6749], [0.3584, 0.3584, 0.4471], [0.4773, 0.4773, 0.1131], [0.5227, 0.5227, 0.8869], [0.6416, 0.6416, 0.5529], [0.2715, 0.2715, 0.6608], [0.7285, 0.7285, 0.3392]]
}

{
  "formula": "Tb3Nd8Mg2",
  "functional": "PBE",
  "state": "relaxed",
  "formation_enthalpy_0k_ev_per_fu": 0.17,
  "lattice_angstrom": [[6.7747, 0.0000, 0.0000], [1.8383, 8.4611, 0.0000], [3.3689, 3.1534, 7.4629]],
  "species": ["Tb", "Tb", "Tb", "Nd", "Nd", "Nd", "Nd", "Nd", "Nd", "Nd", "Nd", "Mg", "Mg"],
  "fractional_positions": [[0.0000, 0.0000, 0.0000], [0.0648, 0.1848, 0.5064], [0.9352, 0.8152, 0.4936], [0.2594, 0.4092, 0.6507], [0.3168, 0.6093, 0.1614], [0.3538, 0.7871, 0.6738], [0.4117, 0.9844, 0.2068], [0.5883, 0.0156, 0.7932], [0.6462, 0.2129, 0.3262], [0.6832, 0.3907, 0.8386], [0.7406, 0.5908, 0.3493], [0.1308, 0.3405, 0.0677], [0.8692, 0.6595, 0.9323]]
}

{
  "formula": "TbNd2Dy6Y",
  "functional": "PBE",
  "state": "relaxed",
  "formation_enthalpy_0k_ev_per_fu": 1.16,
  "lattice_angstrom": [[4.5134, -7.5686, 0.0000], [4.5134, 7.5686, 0.0000], [-1.4869, 0.0000, 9.5926]],
  "species": ["Tb", "Tb", "Nd", "Nd", "Nd", "Nd", "Dy", "Dy", "Dy", "Dy", "Dy", "Dy", "Dy", "Dy", "Dy", "Dy", "Dy", "Dy", "Y", "Y"],
  "fractional_positions": [[0.0929, 0.9071, 0.7500], [0.9071, 0.0929, 0.2500], [0.2007, 0.3076, 0.9580], [0.3076, 0.2007, 0.4580], [0.6924, 0.7993, 0.5420], [0.7993, 0.6924, 0.0420], [0.0008, 0.7909, 0.3804], [0.0759, 0.5232, 0.1874], [0.2091, 0.9992, 0.1196], [0.2451, 0.6263, 0.5569], [0.3737, 0.7549, 0.9431], [0.4768, 0.9241, 0.3126], [0.5232, 0.0759, 0.6874], [0.6263, 0.2451, 0.0569], [0.7549, 0.3737, 0.4431], [0.7909, 0.0008, 0.8804], [0.9241, 0.4768, 0.8126], [0.9992, 0.2091, 0.6196], [0.4818, 0.5182, 0.2500], [0.5182, 0.4818, 0.7500]]
}

{
  "formula": "CaEuCd2",
  "functional": "PBE",
  "state": "relaxed",
  "formation_enthalpy_0k_ev_per_fu": -1.41,
  "lattice_angstrom": [[5.5641, 0.0000, 0.0000], [0.0000, 5.5641, 0.0000], [0.0000, 0.0000, 3.7909]],
  "species": ["Ca", "Eu", "Cd", "Cd"],
  "fractional_positions": [[0.0000, 0.0000, 0.0000], [0.5000, 0.5000, 0.0000], [0.0000, 0.5000, 0.5000], [0.5000, 0.0000, 0.5000]]
}

{
  "formula": "HfSb3Se",
  "functional": "PBE",
  "state": "relaxed",
  "formation_energy_uncorrected_ev_per_fu": 2.06,
  "lattice_angstrom": [[5.4689, 0.0000, 0.0000], [0.0000, 5.4689, 0.0000], [0.0000, 0.0000, 5.4689]],
  "species": ["Hf", "Sb", "Sb", "Sb", "Se"],
  "fractional_positions": [[0.0000, 0.0000, 0.0000], [0.0000, 0.0000, 0.5000], [0.0000, 0.5000, 0.0000], [0.5000, 0.0000, 0.0000], [0.5000, 0.5000, 0.5000]]
}

{
  "formula": "ZrMn2Au",
  "functional": "PBE",
  "state": "relaxed",
  "formation_enthalpy_0k_ev_per_fu": 0.00,
  "lattice_angstrom": [[3.3603, 0.0000, 0.0000], [0.0000, 3.3603, 0.0000], [0.0000, 0.0000, 5.9937]],
  "species": ["Zr", "Mn", "Mn", "Au"],
  "fractional_positions": [[0.0000, 0.0000, 0.0000], [0.5000, 0.5000, 0.2528], [0.5000, 0.5000, 0.7472], [0.0000, 0.0000, 0.5000]]
}

{
  "formula": "Cd3In4Sn",
  "functional": "PBE",
  "state": "relaxed",
  "formation_enthalpy_0k_ev_per_fu": 0.31,
  "lattice_angstrom": [[10.7654, 0.0000, 0.0000], [0.0000, 6.8474, 0.0000], [0.0000, 0.0000, 5.6046]],
  "species": ["Cd", "Cd", "Cd", "Cd", "Cd", "Cd", "In", "In", "In", "In", "In", "In", "In", "In", "Sn", "Sn"],
  "fractional_positions": [[0.0000, 0.0000, 0.0000], [0.2500, 0.0000, 0.3548], [0.2500, 0.5000, 0.3631], [0.5000, 0.0000, 0.0000], [0.7500, 0.0000, 0.6452], [0.7500, 0.5000, 0.6369], [0.0000, 0.2490, 0.5000], [0.0000, 0.7510, 0.5000], [0.2500, 0.2475, 0.8649], [0.2500, 0.7525, 0.8649], [0.5000, 0.2490, 0.5000], [0.5000, 0.7510, 0.5000], [0.7500, 0.2475, 0.1351], [0.7500, 0.7525, 0.1351], [0.0000, 0.5000, 0.0000], [0.5000, 0.5000, 0.0000]]
}

{
  "formula": "Pm3BrO3",
  "functional": "PBE",
  "state": "relaxed",
  "formation_energy_uncorrected_ev_per_fu": -19.37,
  "lattice_angstrom": [[3.4578, 1.9963, 7.1130], [-3.4578, 1.9963, 7.1130], [0.0000, -3.9927, 7.1130]],
  "species": ["Pm", "Pm", "Pm", "Pm", "Pm", "Pm", "Br", "Br", "O", "O", "O", "O", "O", "O"],
  "fractional_positions": [[0.0801, 0.7098, 0.4035], [0.2902, 0.5965, 0.9199], [0.4035, 0.0801, 0.7098], [0.5965, 0.9199, 0.2902], [0.7098, 0.4035, 0.0801], [0.9199, 0.2902, 0.5965], [0.1671, 0.1671, 0.1671], [0.8329, 0.8329, 0.8329], [0.0355, 0.3688, 0.7320], [0.2680, 0.9645, 0.6312], [0.3688, 0.7320, 0.0355], [0.6312, 0.2680, 0.9645], [0.7320, 0.0355, 0.3688], [0.9645, 0.6312, 0.2680]]
}

{
  "formula": "Zr2GeHN",
  "functional": "PBE",
  "state": "relaxed",
  "final_energy_ev_per_cell": -35.24,
  "lattice_angstrom": [[4.5339, 0.0000, 0.0000], [0.0000, 4.5339, 0.0000], [0.0000, 0.0000, 3.4707]],
  "species": ["Zr", "Zr", "Ge", "H", "N"],
  "fractional_positions": [[0.0000, 0.5000, 0.0000], [0.5000, 0.0000, 0.0000], [0.0000, 0.0000, 0.5000], [0.5000, 0.5000, 0.5000], [0.5000, 0.5000, 0.0000]]
}

{
  "formula": "TmZn2Pd9",
  "functional": "PBE",
  "state": "relaxed",
  "formation_enthalpy_0k_ev_per_fu": -5.90,
  "lattice_angstrom": [[3.9981, 0.0000, 0.0000], [0.0000, 3.9981, 0.0000], [0.0000, 0.0000, 11.8124]],
  "species": ["Tm", "Zn", "Zn", "Pd", "Pd", "Pd", "Pd", "Pd", "Pd", "Pd", "Pd", "Pd"],
  "fractional_positions": [[0.0000, 0.0000, 0.0000], [0.0000, 0.0000, 0.3417], [0.0000, 0.0000, 0.6583], [0.0000, 0.5000, 0.1784], [0.0000, 0.5000, 0.5000], [0.0000, 0.5000, 0.8216], [0.5000, 0.0000, 0.1784], [0.5000, 0.0000, 0.5000], [0.5000, 0.0000, 0.8216], [0.5000, 0.5000, 0.0000], [0.5000, 0.5000, 0.3382], [0.5000, 0.5000, 0.6618]]
}

{
  "formula": "Tb7Y6Ho16",
  "functional": "PBE",
  "state": "relaxed",
  "formation_enthalpy_0k_ev_per_fu": 6.91,
  "lattice_angstrom": [[0.0000, 7.8337, 7.8337], [7.8337, 0.0000, 7.8337], [7.8337, 7.8337, 0.0000]],
  "species": ["Tb", "Tb", "Tb", "Tb", "Tb", "Tb", "Tb", "Y", "Y", "Y", "Y", "Y", "Y", "Ho", "Ho", "Ho", "Ho", "Ho", "Ho", "Ho", "Ho", "Ho", "Ho", "Ho", "Ho", "Ho", "Ho", "Ho", "Ho"],
  "fractional_positions": [[0.0000, 0.0000, 0.0000], [0.0000, 0.0000, 0.5000], [0.0000, 0.5000, 0.0000], [0.0000, 0.5000, 0.5000], [0.5000, 0.0000, 0.0000], [0.5000, 0.0000, 0.5000], [0.5000, 0.5000, 0.0000], [0.2797, 0.2797, 0.7203], [0.2797, 0.7203, 0.2797], [0.2797, 0.7203, 0.7203], [0.7203, 0.2797, 0.2797], [0.7203, 0.2797, 0.7203], [0.7203, 0.7203, 0.2797], [0.0408, 0.6531, 0.6531], [0.1232, 0.1232, 0.1232], [0.1232, 0.1232, 0.6305], [0.1232, 0.6305, 0.1232], [0.3469, 0.3469, 0.3469], [0.3469, 0.3469, 0.9592], [0.3469, 0.9592, 0.3469], [0.3695, 0.8768, 0.8768], [0.6305, 0.1232, 0.1232], [0.6531, 0.0408, 0.6531], [0.6531, 0.6531, 0.0408], [0.6531, 0.6531, 0.6531], [0.8768, 0.3695, 0.8768], [0.8768, 0.8768, 0.3695], [0.8768, 0.8768, 0.8768], [0.9592, 0.3469, 0.3469]]
}